Version P
Here is a relaxed LiMg3W crystal from the Alexandria database. Energies are from PBE.

The value obtained for the volume is 18.494 Å³ per atom. For the theoretical density, the calculation gives 4.735 Mg/m³.

It has space group Pm-3m (No. 221), with a = 4.522 Å, b = 4.522 Å, c = 4.522 Å, α = 90.00°, β = 90.00° and γ = 90.00°. Symmetry generates all atoms from Li at (0.000, 0.000, 0.000), Mg at (0.000, 0.000, 0.500) and W at (0.500, 0.500, 0.500).

Version Q
Here is a relaxed LiMg3W crystal from the Alexandria database. Energies are from PBE.

The value obtained for the volume is 30.457 Å³ per atom. For the theoretical density, the calculation gives 2.875 Mg/m³.

It has space group Pm-3m (No. 221), with a = 5.340 Å, b = 5.340 Å, c = 5.340 Å, α = 90.00°, β = 90.00° and γ = 90.00°. Symmetry generates all atoms from Li at (0.000, 0.000, 0.000), Mg at (0.000, 0.500, 0.500) and W at (0.500, 0.500, 0.500).

version P is preferred energetically. Next in line: 4.1 kJ/mol of atoms higher.

Version P
Here is a relaxed Li2YMg3 crystal from the Alexandria database. Energies are from PBE.

The value obtained for the volume is 23.521 Å³ per atom. For the theoretical density, the calculation gives 2.067 Mg/m³.

It has space group P6_3/mmc (No. 194), with a = 4.9997 Å, b = 4.9997 Å, c = 13.0382 Å, α = 90.00°, β = 90.00° and γ = 120.00°. Symmetry generates all atoms from Li at (0.3333, 0.6667, 0.1132), Y at (0.0000, 0.0000, 0.2500), Mg at (0.0000, 0.0000, 0.0000) and Mg at (0.3333, 0.6667, 0.6196).

Version Q
Here is a relaxed Li2YMg3 crystal from the Alexandria database. Energies are from PBE.

The value obtained for the volume is 22.896 Å³ per atom. For the theoretical density, the calculation gives 2.124 Mg/m³.

It has space group P4/mmm (No. 123), with a = 3.505 Å, b = 3.505 Å, c = 11.185 Å, α = 90.00°, β = 90.00° and γ = 90.00°. Symmetry generates all atoms from Li at (0.000, 0.000, 0.153), Y at (0.000, 0.000, 0.500), Mg at (0.500, 0.500, 0.000) and Mg at (0.500, 0.500, 0.298).

version Q is preferred energetically. Next in line: 5.4 kJ/mol of atoms higher.

Version P
Here is a relaxed LiYMg4 crystal from the Alexandria database. Energies are from PBE.

The value obtained for the volume is 25.163 Å³ per atom. For the theoretical density, the calculation gives 2.123 Mg/m³.

It has space group F-43m (No. 216), with a = 8.453 Å, b = 8.453 Å, c = 8.453 Å, α = 90.00°, β = 90.00° and γ = 90.00°. Symmetry generates all atoms from Li at (0.000, 0.000, 0.000), Y at (0.250, 0.250, 0.250) and Mg at (0.125, 0.125, 0.625).

Version Q
Here is a relaxed LiYMg4 crystal from the Alexandria database. Energies are from PBE.

The value obtained for the volume is 23.428 Å³ per atom. For the theoretical density, the calculation gives 2.281 Mg/m³.

It has space group P4/mmm (No. 123), with a = 3.443 Å, b = 3.443 Å, c = 11.857 Å, α = 90.00°, β = 90.00° and γ = 90.00°. Symmetry generates all atoms from Li at (0.000, 0.000, 0.000), Y at (0.500, 0.500, 0.500), Mg at (0.000, 0.000, 0.306) and Mg at (0.500, 0.500, 0.142).

version Q is preferred energetically. Next in line: 7.9 kJ/mol of atoms higher.

Version P
Here is a relaxed LiYMg3 crystal from the Alexandria database. Energies are from PBE.

The value obtained for the volume is 24.194 Å³ per atom. For the theoretical density, the calculation gives 2.317 Mg/m³.

It has space group P2_1 (No. 4), with a = 7.950 Å, b = 3.399 Å, c = 9.405 Å, α = 90.00°, β = 107.81° and γ = 90.00°. Symmetry generates all atoms from Li at (0.004, 0.000, 0.250), Y at (0.370, 0.002, 0.840), Mg at (0.177, 0.504, 0.519), Mg at (0.187, 0.505, 0.072) and Mg at (0.403, 0.004, 0.358).

Version Q
Here is a relaxed LiYMg3 crystal from the Alexandria database. Energies are from PBE.

The value obtained for the volume is 23.567 Å³ per atom. For the theoretical density, the calculation gives 2.378 Mg/m³.

It has space group Pm-3m (No. 221), with a = 4.903 Å, b = 4.903 Å, c = 4.903 Å, α = 90.00°, β = 90.00° and γ = 90.00°. Symmetry generates all atoms from Li at (0.000, 0.000, 0.000), Y at (0.500, 0.500, 0.500) and Mg at (0.000, 0.000, 0.500).

version P is preferred energetically. Next in line: 12.9 kJ/mol of atoms higher.

Version P
Here is a relaxed LiYMg6 crystal from the Alexandria database. Energies are from PBE.

The value obtained for the volume is 24.052 Å³ per atom. For the theoretical density, the calculation gives 2.086 Mg/m³.

It has space group Amm2 (No. 38), with a = 5.127 Å, b = 6.355 Å, c = 11.811 Å, α = 90.00°, β = 90.00° and γ = 90.00°. Symmetry generates all atoms from Li at (0.000, 0.000, 0.000), Y at (0.000, 0.000, 0.525), Mg at (0.000, 0.250, 0.272), Mg at (0.500, 0.000, 0.159), Mg at (0.500, 0.000, 0.686) and Mg at (0.500, 0.250, 0.421).

Version Q
Here is a relaxed LiYMg6 crystal from the Alexandria database. Energies are from PBE.

The value obtained for the volume is 24.028 Å³ per atom. For the theoretical density, the calculation gives 2.088 Mg/m³.

It has space group Amm2 (No. 38), with a = 5.126 Å, b = 6.391 Å, c = 11.736 Å, α = 90.00°, β = 90.00° and γ = 90.00°. Symmetry generates all atoms from Li at (0.000, 0.000, 0.000), Y at (0.500, 0.000, 0.161), Mg at (0.000, 0.000, 0.523), Mg at (0.000, 0.248, 0.267), Mg at (0.500, 0.000, 0.683) and Mg at (0.500, 0.249, 0.917).

version Q is preferred energetically. Next in line: 0.9 kJ/mol of atoms higher.

Version P
Here is a relaxed LiYMg14 crystal from the Alexandria database. Energies are from PBE.

The value obtained for the volume is 23.357 Å³ per atom. For the theoretical density, the calculation gives 1.938 Mg/m³.

It has space group P4/mmm (No. 123), with a = 6.836 Å, b = 6.836 Å, c = 7.996 Å, α = 90.00°, β = 90.00° and γ = 90.00°. Symmetry generates all atoms from Li at (0.000, 0.000, 0.000), Y at (0.500, 0.500, 0.000), Mg at (0.000, 0.000, 0.500), Mg at (0.000, 0.500, 0.000), Mg at (0.000, 0.500, 0.500), Mg at (0.245, 0.245, 0.252) and Mg at (0.500, 0.500, 0.500).

Version Q
Here is a relaxed LiYMg14 crystal from the Alexandria database. Energies are from PBE.

The value obtained for the volume is 23.506 Å³ per atom. For the theoretical density, the calculation gives 1.926 Mg/m³.

It has space group Amm2 (No. 38), with a = 10.353 Å, b = 6.389 Å, c = 11.372 Å, α = 90.00°, β = 90.00° and γ = 90.00°. Symmetry generates all atoms from Li at (0.000, 0.000, 0.000), Y at (0.000, 0.000, 0.514), Mg at (0.000, 0.243, 0.766), Mg at (0.235, 0.000, 0.164), Mg at (0.253, 0.250, 0.419), Mg at (0.255, 0.000, 0.671), Mg at (0.500, 0.000, 0.007), Mg at (0.500, 0.000, 0.505) and Mg at (0.500, 0.245, 0.254).

version P is preferred energetically. Next in line: 1.3 kJ/mol of atoms higher.